Record 1
# Ga2FeAs, relaxed, DFT GGA-PBE
data_Ga2FeAs
_chemical_formula_sum 'Ga8 Fe4 As4'
_symmetry_space_group_name_H-M 'F -4 3 m'
_symmetry_Int_Tables_number 216
_symmetry_space_group_name_Hall 'F -4 2 3'
_cell_length_a 6.4149
_cell_length_b 6.4149
_cell_length_c 6.4149
_cell_angle_alpha 90.00
_cell_angle_beta 90.00
_cell_angle_gamma 90.00
loop_
_atom_site_label
_atom_site_type_symbol
_atom_site_fract_x
_atom_site_fract_y
_atom_site_fract_z
Ga1 Ga 0.0000 0.0000 0.0000
Ga2 Ga 0.2500 0.2500 0.2500
Fe1 Fe 0.0000 0.0000 0.5000
As1 As 0.2500 0.2500 0.7500
# V: 16.499 Å³/atom
# Total DFT energy (no corrections): -4.46 eV/atom

Record 2
# La4CoS7, relaxed, DFT GGA-PBE
data_La4CoS7
_chemical_formula_sum 'La8 Co2 S14'
_symmetry_space_group_name_H-M 'P 1 21 1'
_symmetry_Int_Tables_number 4
_cell_length_a 9.9770
_cell_length_b 6.8386
_cell_length_c 9.9799
_cell_angle_alpha 90.00
_cell_angle_beta 119.79
_cell_angle_gamma 90.00
loop_
_symmetry_equiv_pos_as_xyz
'x,y,z'
'-x,y+1/2,-z'
loop_
_atom_site_label
_atom_site_type_symbol
_atom_site_fract_x
_atom_site_fract_y
_atom_site_fract_z
La1 La 0.1277 0.0000 0.3485
La2 La 0.1751 0.9598 0.8440
La3 La 0.2797 0.4941 0.1278
La4 La 0.3467 0.4971 0.7182
Co1 Co 0.4992 0.8187 0.5011
S1 S 0.0101 0.7406 0.9418
S2 S 0.0635 0.7501 0.5755
S3 S 0.1648 0.3503 0.8310
S4 S 0.2773 0.6040 0.4045
S5 S 0.3718 0.1024 0.2746
S6 S 0.4059 0.1024 0.6259
S7 S 0.4361 0.7356 0.9934
# V: 24.621 Å³/atom
# Total DFT energy (no corrections): -6.36 eV/atom

Record 3
# MgUPb, relaxed, DFT GGA-PBE
data_MgUPb
_chemical_formula_sum 'Mg4 U4 Pb4'
_symmetry_space_group_name_H-M 'F -4 3 m'
_symmetry_Int_Tables_number 216
_symmetry_space_group_name_Hall 'F -4 2 3'
_cell_length_a 7.3234
_cell_length_b 7.3234
_cell_length_c 7.3234
_cell_angle_alpha 90.00
_cell_angle_beta 90.00
_cell_angle_gamma 90.00
loop_
_atom_site_label
_atom_site_type_symbol
_atom_site_fract_x
_atom_site_fract_y
_atom_site_fract_z
Mg1 Mg 0.0000 0.0000 0.0000
U1 U 0.2500 0.2500 0.2500
Pb1 Pb 0.0000 0.0000 0.5000
# V: 32.731 Å³/atom
# Total DFT energy (no corrections): -4.70 eV/atom

Record 4
# ZnCdGaCu, relaxed, DFT GGA-PBE
data_ZnCdGaCu
_chemical_formula_sum 'Zn4 Cd4 Ga4 Cu4'
_symmetry_space_group_name_H-M 'F -4 3 m'
_symmetry_Int_Tables_number 216
_symmetry_space_group_name_Hall 'F -4 2 3'
_cell_length_a 6.4539
_cell_length_b 6.4539
_cell_length_c 6.4539
_cell_angle_alpha 90.00
_cell_angle_beta 90.00
_cell_angle_gamma 90.00
loop_
_atom_site_label
_atom_site_type_symbol
_atom_site_fract_x
_atom_site_fract_y
_atom_site_fract_z
Zn1 Zn 0.0000 0.0000 0.0000
Cd1 Cd 0.2500 0.2500 0.7500
Ga1 Ga 0.2500 0.2500 0.2500
Cu1 Cu 0.0000 0.0000 0.5000
# V: 16.802 Å³/atom
# Total DFT energy (no corrections): -2.10 eV/atom
# Distance to the lowest polymorph of the same formula: 0 meV per atom

Record 5
# Ag2Bi4PbSe8, relaxed, DFT GGA-PBE
data_Ag2Bi4PbSe8
_chemical_formula_sum 'Ag4 Bi8 Pb2 Se16'
_symmetry_space_group_name_H-M 'P 1 21/m 1'
_symmetry_Int_Tables_number 11
_cell_length_a 13.2694
_cell_length_b 4.2444
_cell_length_c 15.5188
_cell_angle_alpha 90.00
_cell_angle_beta 109.02
_cell_angle_gamma 90.00
loop_
_symmetry_equiv_pos_as_xyz
'x,y,z'
'-x,-y,-z'
'-x,y+1/2,-z'
'x,-y+1/2,z'
loop_
_atom_site_label
_atom_site_type_symbol
_atom_site_fract_x
_atom_site_fract_y
_atom_site_fract_z
Ag1 Ag 0.0344 0.2500 0.4588
Ag2 Ag 0.1200 0.2500 0.0963
Bi1 Bi 0.0662 0.7500 0.2953
Bi2 Bi 0.2099 0.7500 0.9104
Bi3 Bi 0.4285 0.7500 0.3797
Bi4 Bi 0.4582 0.2500 0.1130
Pb1 Pb 0.2668 0.2500 0.6762
Se1 Se 0.0652 0.2500 0.9219
Se2 Se 0.1217 0.7500 0.7131
Se3 Se 0.1576 0.7500 0.4832
Se4 Se 0.1962 0.2500 0.2690
Se5 Se 0.3123 0.7500 0.1134
Se6 Se 0.3684 0.2500 0.8874
Se7 Se 0.3755 0.2500 0.4864
Se8 Se 0.4543 0.7500 0.6970
# V: 27.543 Å³/atom
# Total DFT energy (no corrections): -3.90 eV/atom

Record 6
# ErMgTe, relaxed, DFT GGA-PBE
data_ErMgTe
_chemical_formula_sum 'Er4 Mg4 Te4'
_symmetry_space_group_name_H-M 'F -4 3 m'
_symmetry_Int_Tables_number 216
_symmetry_space_group_name_Hall 'F -4 2 3'
_cell_length_a 7.1745
_cell_length_b 7.1745
_cell_length_c 7.1745
_cell_angle_alpha 90.00
_cell_angle_beta 90.00
_cell_angle_gamma 90.00
loop_
_atom_site_label
_atom_site_type_symbol
_atom_site_fract_x
_atom_site_fract_y
_atom_site_fract_z
Er1 Er 0.0000 0.0000 0.0000
Mg1 Mg 0.0000 0.0000 0.5000
Te1 Te 0.2500 0.2500 0.7500
# V: 30.775 Å³/atom
# Total DFT energy (no corrections): -3.28 eV/atom
# Distance to the lowest polymorph of the same formula: 0 meV per atom

Question: V of number 5 (Ag2Bi4PbSe8)?
Answer: 27.543 Å³/atom